Compound: Gd2Zr2O7
Source: OQMD via LeMat-Bulk
Functional: GGA-PBE
Structure: optimized geometry

Output
raw total energy = -8.700 eV/atom

Lattice parameters (Å, degrees): 10.4581 10.4581 10.4581 90.00 90.00 90.00
With the nearest neighbours (Å) after each atom.
Space group Fd-3m (No. 227, origin choice 2)
One atom of each set of equivalent atoms:
Gd 0.0000 0.0000 0.0000 (multiplicity 16)  6 O 2.27
Zr 0.0000 0.0000 0.5000 (multiplicity 16)  8 O 2.26
O 0.1250 0.1250 0.3753 (multiplicity 48)  2 Zr 2.26, 2 Gd 2.27
O 0.1250 0.1250 0.6250 (multiplicity 8)  4 Zr 2.26